Entry 1:
# CdAsCl

An optimized crystal structure of CdAsCl (PBE, Alexandria).

The structure belongs to space group Fmm2 (No. 42); the cell edges are 4.141, 4.888 and 14.530 Å and the angles 90.00°, 90.00° and 90.00°. Symmetry generates all atoms from Cd at (0.000, 0.000, 0.000), As at (0.000, 0.000, 0.358) and Cl at (0.000, 0.000, 0.617).

The polymorph energy (0 for the lowest one) comes out at 453 meV per atom. As for the formation energy (no corrections): -0.29 eV per formula unit.

=====

Entry 2:
# HoTmCu4

An optimized crystal structure of HoTmCu4 (PBE, Alexandria).

The structure belongs to space group Imm2 (No. 44); the cell edges are 4.261, 6.759 and 7.304 Å and the angles 90.00°, 90.00° and 90.00°. Symmetry generates all atoms from Ho at (0.000, 0.000, 0.000), Tm at (0.000, 0.500, 0.910), Cu at (0.000, 0.198, 0.618) and Cu at (0.000, 0.301, 0.289).

The polymorph energy (0 for the lowest one) comes out at 0 meV per atom. The formation enthalpy at 0 K is -0.288 eV per atom.

=====

Entry 3:
# TaGeO

An optimized crystal structure of TaGeO (PBE, Alexandria).

The structure belongs to space group Immm (No. 71); the cell edges are 2.856, 3.760 and 16.671 Å and the angles 90.00°, 90.00° and 90.00°. Symmetry generates all atoms from Ta at (0.000, 0.000, 0.172), Ge at (0.000, 0.000, 0.426) and O at (0.000, 0.500, 0.228).

The polymorph energy (0 for the lowest one) comes out at 0 meV per atom. As for the formation energy (no corrections): -3.68 eV per formula unit.

=====

Entry 4:
# Er5Se4S

An optimized crystal structure of Er5Se4S (PBE, Alexandria).

The structure belongs to space group I4/mmm (No. 139); the cell edges are 3.980, 3.980 and 28.736 Å and the angles 90.00°, 90.00° and 90.00°. Symmetry generates all atoms from Er at (0.000, 0.000, 0.000), Er at (0.000, 0.000, 0.207), Er at (0.000, 0.000, 0.408), Se at (0.000, 0.000, 0.102), Se at (0.000, 0.000, 0.306) and S at (0.000, 0.000, 0.500).

The polymorph energy (0 for the lowest one) comes out at 5 meV per atom. As for the formation energy (no corrections): -17.38 eV per formula unit.

=====

Entry 5:
# CoSiNi2

An optimized crystal structure of CoSiNi2 (PBE, Alexandria).

The structure belongs to space group Immm (No. 71); the cell edges are 2.688, 3.987 and 8.104 Å and the angles 90.00°, 90.00° and 90.00°. Symmetry generates all atoms from Co at (0.000, 0.000, 0.000), Si at (0.000, 0.000, 0.500) and Ni at (0.000, 0.500, 0.230).

As for the formation energy (no corrections): -1.13 eV per formula unit.

=====

Entry 6:
# CdNi2HRh

An optimized crystal structure of CdNi2HRh (PBE, Alexandria).

The structure belongs to space group P4/mmm (No. 123); the cell edges are 3.889, 3.889 and 3.829 Å and the angles 90.00°, 90.00° and 90.00°. Symmetry generates all atoms from Cd at (0.000, 0.000, 0.000), Ni at (0.000, 0.500, 0.500), H at (0.500, 0.500, 0.500) and Rh at (0.500, 0.500, 0.000).

As for the calculated total energy: -4.6393 eV/atom.

=====

Entry 7:
# Ac3Mg2Tl3

An optimized crystal structure of Ac3Mg2Tl3 (PBE, Alexandria).

The structure belongs to space group Cmcm (No. 63); the cell edges are 4.968, 12.682 and 16.563 Å and the angles 90.00°, 90.00° and 90.00°. Symmetry generates all atoms from Ac at (0.000, 0.071, 0.114), Ac at (0.000, 0.354, 0.250), Mg at (0.000, 0.222, 0.584), Tl at (0.000, 0.342, 0.750) and Tl at (0.000, 0.392, 0.046).

The polymorph energy (0 for the lowest one) comes out at 0 meV per atom. The formation enthalpy at 0 K is -0.311 eV per atom.

=====

Entry 8:
# AlGeSbI2

An optimized crystal structure of AlGeSbI2 (PBE, Alexandria).

The structure belongs to space group P4/mmm (No. 123); the cell edges are 5.736, 5.736 and 5.557 Å and the angles 90.00°, 90.00° and 90.00°. Symmetry generates all atoms from Al at (0.000, 0.000, 0.000), Ge at (0.500, 0.500, 0.500), Sb at (0.500, 0.500, 0.000) and I at (0.000, 0.500, 0.500).

The polymorph energy (0 for the lowest one) comes out at 0 meV per atom. As for the formation energy (no corrections): 2.13 eV per formula unit.

=====

Entry 9:
# ZnHN2O

An optimized crystal structure of ZnHN2O (PBE, Alexandria).

The structure belongs to space group P4/mmm (No. 123); the cell edges are 4.187, 4.187 and 3.783 Å and the angles 90.00°, 90.00° and 90.00°. Symmetry generates all atoms from Zn at (0.000, 0.000, 0.000), H at (0.500, 0.500, 0.500), N at (0.000, 0.500, 0.000) and O at (0.000, 0.000, 0.500).

As for the calculated total energy: -3.2139 eV/atom.

=====

Entry 10:
# YErBi2

An optimized crystal structure of YErBi2 (PBE, Alexandria).

The structure belongs to space group R3m (No. 160, hexagonal axes); the cell edges are 4.4329, 4.4329 and 22.7187 Å and the angles 90.00°, 90.00° and 120.00°. Symmetry generates all atoms from Y at (0.0000, 0.0000, 0.0000), Er at (0.0000, 0.0000, 0.8297), Bi at (0.0000, 0.0000, 0.4139) and Bi at (0.0000, 0.0000, 0.5821).

The polymorph energy (0 for the lowest one) comes out at 104 meV per atom. The formation enthalpy at 0 K is -0.752 eV per atom.

=====

Entry 11:
# Sm2YThSe4

An optimized crystal structure of Sm2YThSe4 (PBE, Alexandria).

The structure belongs to space group P2/m (No. 10); the cell edges are 7.188, 4.133 and 7.265 Å and the angles 90.00°, 109.19° and 90.00°. Symmetry generates all atoms from Sm at (0.000, 0.000, 0.000), Sm at (0.000, 0.500, 0.500), Y at (0.500, 0.000, 0.500), Th at (0.500, 0.500, 0.000), Se at (0.249, 0.000, 0.744) and Se at (0.254, 0.500, 0.257).

As for the formation energy (no corrections): -13.79 eV per formula unit.

=====

Entry 12:
# PrIClF

An optimized crystal structure of PrIClF (PBE, Alexandria).

The structure belongs to space group R3m (No. 160, hexagonal axes); the cell edges are 4.2111, 4.2111 and 23.3753 Å and the angles 90.00°, 90.00° and 120.00°. Symmetry generates all atoms from Pr at (0.0000, 0.0000, 0.0000), I at (0.0000, 0.0000, 0.4301), Cl at (0.0000, 0.0000, 0.2599) and F at (0.0000, 0.0000, 0.6662).

As for the formation energy (no corrections): -10.45 eV per formula unit.